[1]
The following is a GGA-PBE calculation of an optimized crystal structure of LiHgW4, from the Alexandria database.

Lattice parameters (Å, degrees): 5.3515 5.3515 5.3515 60.00 60.00 60.00
Closest atoms and distances in Å follow each position.
Element x y z (fractional)
Li1 0.0000 0.0000 0.0000  12 W 3.13, 4 Hg 3.28
Hg1 0.2500 0.2500 0.2500  12 W 3.14, 4 Li 3.28
W1 0.1209 0.6264 0.6264  6 W 2.65-2.71
W2 0.6264 0.1209 0.6264  6 W 2.65-2.71
W3 0.6264 0.6264 0.1209  6 W 2.65-2.71
W4 0.6264 0.6264 0.6264  6 W 2.65-2.71

Calculated values
ΔE_f, eV per atom: 0.7828
Spin magnetization, μB per formula unit: 0.0



[2]
The following is a GGA-PBE calculation of an optimized crystal structure of LiTc2Pd, from the Alexandria database.

Lattice parameters (Å, degrees): 10.0341 10.0341 10.0341 159.75 159.75 28.80
Closest atoms and distances in Å follow each position.
Element x y z (fractional)
Li1 0.0000 0.0000 0.0000  4 Pd 2.50, 4 Tc 2.71
Li2 0.7500 0.2500 0.5000  4 Pd 2.50, 4 Tc 2.71
Tc1 0.1027 0.6250 0.9777  4 Tc 2.39-2.61
Tc2 0.3750 0.3527 0.4777  4 Tc 2.39-2.61
Tc3 0.6473 0.1250 0.0223  4 Tc 2.39-2.61
Tc4 0.8750 0.8973 0.5223  4 Tc 2.39-2.61
Pd1 0.2500 0.7500 0.5000  4 Li 2.50, 4 Tc 2.76
Pd2 0.5000 0.5000 0.0000  4 Li 2.50, 4 Tc 2.76

Calculated values
ΔE_f, eV per atom: 0.3745
Spin magnetization, μB per formula unit: 0.0
Energy above the lowest structure with this stoichiometry, meV/atom: 0



[3]
The following is a GGA-PBE calculation of an optimized crystal structure of Pm4Mg, from the Alexandria database.

Lattice parameters (Å, degrees): 6.9977 6.9977 6.9977 147.89 108.43 80.61
Closest atoms and distances in Å follow each position.
Element x y z (fractional)
Pm1 0.1927 0.5000 0.6927  1 Pm 3.15, 2 Mg 3.17
Pm2 0.2494 0.2494 0.0000  2 Mg 3.30, 6 Pm 3.65-3.67
Pm3 0.7506 0.7506 0.0000  2 Mg 3.30, 6 Pm 3.65-3.67
Pm4 0.8073 0.5000 0.3073  1 Pm 3.15, 2 Mg 3.17
Mg1 0.5000 0.0000 0.5000  8 Pm 3.17-3.30

Calculated values
ΔE_f, eV per atom: 0.1160
Spin magnetization, μB per formula unit: 0.0
Energy above the lowest structure with this stoichiometry, meV/atom: 144



Please write out number 2 again, unchanged.
The following is a GGA-PBE calculation of an optimized crystal structure of LiTc2Pd, from the Alexandria database.

Lattice parameters (Å, degrees): 10.0341 10.0341 10.0341 159.75 159.75 28.80
Closest atoms and distances in Å follow each position.
Element x y z (fractional)
Li1 0.0000 0.0000 0.0000  4 Pd 2.50, 4 Tc 2.71
Li2 0.7500 0.2500 0.5000  4 Pd 2.50, 4 Tc 2.71
Tc1 0.1027 0.6250 0.9777  4 Tc 2.39-2.61
Tc2 0.3750 0.3527 0.4777  4 Tc 2.39-2.61
Tc3 0.6473 0.1250 0.0223  4 Tc 2.39-2.61
Tc4 0.8750 0.8973 0.5223  4 Tc 2.39-2.61
Pd1 0.2500 0.7500 0.5000  4 Li 2.50, 4 Tc 2.76
Pd2 0.5000 0.5000 0.0000  4 Li 2.50, 4 Tc 2.76

Calculated values
ΔE_f, eV per atom: 0.3745
Spin magnetization, μB per formula unit: 0.0
Energy above the lowest structure with this stoichiometry, meV/atom: 0



- Which of these has the lowest ΔE_f?
  Pm4Mg